(1)
Material: HfTh3Si6
Method: DFT, PBE
State: relaxed

Structure (extended XYZ):
```
20
Lattice="7.505 -0.028 -0.944 -1.067 7.429 -0.944 -0.024 -0.028 7.564" Properties=species:S:1:pos:R:3 pbc="T T T"
Si 2.545 3.541 0.099
Si 3.450 0.894 2.514
Si 5.932 4.362 2.556
Hf 0.000 0.000 0.000
Si 3.614 7.227 5.352
Th 1.123 5.075 5.263
Th 0.596 5.558 1.481
Th 4.283 6.012 0.474
Th 5.290 2.298 0.412
Si 0.053 0.675 2.739
Si 6.361 6.698 2.936
Th 5.817 1.815 4.194
Si 6.122 4.581 5.956
Si 2.799 0.146 0.323
Si 2.963 6.479 3.161
Si 0.291 2.792 -0.281
Si 0.482 3.011 3.119
Hf 3.207 3.687 2.838
Th 2.130 1.361 5.201
Si 3.868 3.832 5.576
```

Output
Its total energy is -141.2 eV per cell. The raw formation energy is -5.845 eV/f.u.

(2)
Material: Mg3HgBi
Method: DFT, PBE
State: relaxed

Structure (extended XYZ):
```
5
Lattice="-0.341 5.338 1.861 -3.863 -1.581 3.828 4.127 -1.039 3.737" Properties=species:S:1:pos:R:3 pbc="T T T"
Hg -0.039 1.359 4.713
Bi 0.000 0.000 0.000
Mg -0.171 2.669 0.930
Mg 2.064 -0.519 1.868
Mg -1.932 -0.791 1.914
```

Output
Its total energy is -7.3 eV per cell. The polymorph energy (0 for the lowest one) comes out at 485 meV/atom. The value obtained for the calculated formation energy is 332.0 meV/atom.

(3)
Material: LaTb5Pm2Pr
Method: DFT, PBE
State: relaxed

Structure (extended XYZ):
```
18
Lattice="8.784 0.000 0.000 0.000 8.784 0.000 -4.392 -4.392 7.885" Properties=species:S:1:pos:R:3 pbc="T T T"
Tb 0.000 0.000 0.000
La 0.000 0.000 3.942
Pm 1.036 3.356 0.000
Tb 2.579 1.813 2.128
Pm 5.428 1.036 0.000
Tb 6.971 2.579 2.128
Pm 3.356 7.748 0.000
Pm 7.748 5.428 0.000
Tb -1.813 -2.579 5.756
Pr 0.000 4.392 3.942
Tb 2.579 -1.813 5.756
Tb 1.813 6.205 2.128
Tb 4.392 4.392 0.000
Tb 1.813 2.579 5.756
Tb 6.205 6.971 2.128
La 4.392 4.392 3.942
Tb -2.579 1.813 5.756
Pr 4.392 0.000 3.942
```

Output
Its total energy is -80.3 eV per cell. The value obtained for the calculated formation energy is 243.7 meV/atom.

(4)
Material: Rb3LiCu2I6
Method: DFT, PBE
State: relaxed

Structure (extended XYZ):
```
12
Lattice="8.454 0.000 0.000 -4.227 7.321 0.000 0.000 0.000 9.464" Properties=species:S:1:pos:R:3 pbc="T T T"
I 0.000 2.365 2.812
Cu 0.000 4.881 2.692
Rb 4.227 2.440 3.337
I 2.048 1.182 6.653
Cu 4.227 2.440 6.773
Rb 0.000 4.881 6.128
Rb 0.000 0.000 0.000
I 2.179 6.139 2.812
I -2.179 6.139 2.812
I 6.406 1.182 6.653
Li 0.000 0.000 4.732
I 4.227 4.957 6.653
```

Output
Its total energy is -33.3 eV per cell. The raw formation energy is -11.015 eV/f.u.

(5)
Material: Cs3Ge2I3Br4
Method: DFT, PBE
State: relaxed

Structure (extended XYZ):
```
12
Lattice="5.812 0.000 0.000 0.000 5.968 0.000 -2.906 -2.984 15.070" Properties=species:S:1:pos:R:3 pbc="T T T"
Br -0.143 2.984 11.978
Cs 2.871 2.984 5.551
I 2.855 0.000 12.104
Cs 2.893 2.984 0.000
I -0.051 2.984 2.966
Cs -0.035 0.000 9.519
Br 2.763 0.000 3.092
Br 3.006 2.984 9.193
Ge 0.214 0.000 3.129
Ge 3.120 2.984 11.941
I 0.007 0.000 0.000
Br 0.100 0.000 5.877
```

Output
Its total energy is -36.3 eV per cell. The raw formation energy is -13.183 eV/f.u.

(6)
Material: Pm2NdSc2
Method: DFT, PBE
State: relaxed

Structure (extended XYZ):
```
10
Lattice="-1.622 -5.898 -0.558 4.732 -0.870 -4.564 13.804 -0.391 -2.186" Properties=species:S:1:pos:R:3 pbc="T T T"
Pm 7.749 -4.541 -2.377
Pm 9.829 -6.016 -4.758
Sc 1.848 -4.085 -1.087
Pm 7.085 -1.143 -2.551
Sc 15.066 -3.074 -6.222
Sc 4.458 -3.633 -3.285
Nd 1.038 -0.744 -1.191
Pm 9.165 -2.618 -4.932
Nd 2.072 -6.024 -3.932
Sc 12.456 -3.526 -4.024
```

Output
Its total energy is -53.3 eV per cell. The polymorph energy (0 for the lowest one) comes out at 0 meV/atom. The value obtained for the calculated formation energy is 57.2 meV/atom.

(7)
Material: Ba2Li3HoH12
Method: DFT, PBE
State: relaxed

Structure (extended XYZ):
```
18
Lattice="-6.173 1.786 1.330 -4.666 -4.612 0.152 -2.604 -1.678 5.785" Properties=species:S:1:pos:R:3 pbc="T T T"
Li -3.087 0.893 0.665
H -4.638 0.247 1.569
H -10.473 -3.133 3.616
Ho 0.000 0.000 0.000
Li -1.302 -0.839 2.893
H -7.134 -0.020 2.622
H -3.934 -2.743 1.019
H -4.939 -2.151 5.362
H -6.308 -4.484 4.645
H -6.207 -3.955 1.898
H -8.503 -2.354 1.905
H -9.509 -1.761 6.249
H -2.970 -1.372 3.652
Ba -5.298 -1.775 2.864
Ba -8.145 -2.729 4.403
Li -2.333 -2.306 0.076
H -8.804 -4.752 5.698
H -7.235 -0.550 5.369
```

Output
Its total energy is -58.0 eV per cell.

(8)
Material: V2H4Pb
Method: DFT, PBE
State: relaxed

Structure (extended XYZ):
```
7
Lattice="4.266 0.000 0.000 0.000 4.266 0.000 2.133 2.133 5.351" Properties=species:S:1:pos:R:3 pbc="T T T"
H 2.133 2.133 3.184
Pb 0.000 0.000 0.000
V 2.133 2.133 1.415
H 0.000 2.133 0.000
H 4.266 4.266 2.167
H 2.133 0.000 0.000
V 4.266 4.266 3.935
```

Output
Its total energy is -28.3 eV per cell.